[1]
A plane-wave DFT calculation with PBE was carried out for a geometry-optimized LiTa5 structure.

The space group is Cm (No. 8) and the conventional cell measures 11.2945, 2.7319 and 7.2259 Å, with angles of 90.00, 102.66 and 90.00 degrees. The asymmetric unit holds Li at (0.0000, 0.0000, 0.0000), Ta at (0.0968, 0.5000, 0.6899), Ta at (0.1687, 0.5000, 0.3326), Ta at (0.2587, 0.0000, 0.0212), Ta at (0.3343, 0.0000, 0.6690) and Ta at (0.4287, 0.5000, 0.3547).

The calculation puts the offset from the most stable computed form at 81 meV per atom. The calculated formation energy is 30.82 kJ/mol of atoms. The magnetization is 0.0 μB/cell. The volume comes out at 217.5 Å³ per cell. The calculation puts the density of states at the Fermi level at 7.3 states/eV/f.u.



[2]
A plane-wave DFT calculation with PBE was carried out for a geometry-optimized La2NiAs structure.

The space group is F-43m (No. 216) and the conventional cell measures 7.1304, 7.1304 and 7.1304 Å, with angles of 90.00, 90.00 and 90.00 degrees. The asymmetric unit holds La at (0.0000, 0.0000, 0.0000), La at (0.2500, 0.2500, 0.2500), Ni at (0.0000, 0.0000, 0.5000) and As at (0.2500, 0.2500, 0.7500).

The calculated formation energy is -13.18 kJ/mol of atoms. The magnetization is 0.0 μB/cell. The volume comes out at 362.5 Å³ per cell. The calculation puts the density of states at the Fermi level at 5.0 states/eV/f.u.



[3]
A plane-wave DFT calculation with PBE was carried out for a geometry-optimized TaW2Au structure.

The space group is Fm-3m (No. 225) and the conventional cell measures 6.4841, 6.4841 and 6.4841 Å, with angles of 90.00, 90.00 and 90.00 degrees. The asymmetric unit holds Ta at (0.0000, 0.0000, 0.0000), W at (0.2500, 0.2500, 0.2500) and Au at (0.0000, 0.0000, 0.5000).

The calculation puts the offset from the most stable computed form at 380 meV per atom. The calculated formation energy is 46.08 kJ/mol of atoms. The magnetization is 0.0 μB/cell. The volume comes out at 272.6 Å³ per cell. The calculation puts the density of states at the Fermi level at 1.6 states/eV/f.u.